# 1
GGA-PBEsol CsCu2H, optimized geometry; N(E_F) = 0.3821 states/eV per atom; symmetry = Fm-3m, No. 225; raw total energy = -1.84 eV/atom
1.0
4.7791 0.0000 0.0000
2.3895 4.1388 0.0000
2.3895 1.3796 3.9021
Cu H Cs
2 1 1
Cartesian
7.1686 4.1388 2.9266 Cu
2.3895 1.3796 0.9755 Cu
0.0000 0.0000 0.0000 H
4.7791 2.7592 1.9511 Cs

***

# 2
GGA-PBEsol Cs2CuH, optimized geometry; symmetry = I-42d, No. 122; raw total energy = -2.07 eV/atom
1.0
-3.2267 2.2978 -6.0997
-2.0767 -6.8053 1.5076
-7.2255 -0.0556 0.8287
Cs H Cu
4 2 2
Cartesian
-6.4067 1.3022 -5.2351 Cs
-7.1877 -1.6755 -2.2087 Cs
-4.0540 -4.5750 -1.3849 Cs
-7.4094 -4.1779 1.3020 Cs
-4.6511 -3.4304 1.1681 H
-8.5900 -3.9968 -1.2976 H
0.0000 0.0000 0.0000 Cu
-3.9389 -0.5663 -2.4658 Cu

***

# 3
GGA-PBEsol CsTiCuH2, optimized geometry; N(E_F) = 0.8955 states/eV per atom; symmetry = P4/mmm, No. 123; raw total energy = -3.07 eV/atom
1.0
-2.9785 -1.1540 2.4270
1.7933 -3.5518 0.5120
3.1182 2.2825 4.9121
Cs Cu H Ti
1 1 2 1
Cartesian
1.5591 1.1413 2.4560 Cs
0.9665 -1.2116 3.9255 Cu
0.8967 -1.7759 0.2560 H
-1.4892 -0.5770 1.2135 H
0.0000 0.0000 0.0000 Ti

***

# 4
GGA-PBEsol CsKHfCu2, optimized geometry; N(E_F) = 1.1898 states/eV per atom; symmetry = P4/mmm, No. 123; calculated formation energy = 1.972 eV/atom
1.0
-3.9387 -3.7160 0.6576
3.4241 -3.1194 2.8808
-1.6395 2.5763 4.7384
Cs Cu Hf K
1 2 1 1
Cartesian
0.0000 0.0000 0.0000 Cs
-1.9693 -1.8580 0.3288 Cu
1.7120 -1.5597 1.4404 Cu
-0.8198 1.2881 2.3692 Hf
-1.0771 -2.1296 4.1384 K

***

# 5
GGA-PBEsol Cs2HfCuS, optimized geometry; formation energy from raw total energies = 0.621 eV/atom; N(E_F) = 1.2161 states/eV per atom; symmetry = P4/mmm, No. 123
1.0
-1.5147 -3.4067 1.6611
-1.5015 -2.3986 -6.2883
6.2248 -2.9448 -0.3631
Hf Cs Cu S
1 2 1 1
Cartesian
1.6043 -4.3750 -2.4952 Hf
3.1124 -1.4724 -0.1815 Cs
-0.7508 -1.1993 -3.1442 Cs
-0.7573 -1.7033 0.8306 Cu
0.0000 0.0000 0.0000 S

***

# 6
GGA-PBEsol Cs3Hf2CuTe10, optimized geometry; formation energy from raw total energies = -0.709 eV/atom; symmetry = P-1, No. 2
1.0
9.9026 0.0042 -0.0933
2.2532 10.7463 0.0805
0.0252 0.1696 11.0484
Te Hf Cs Cu
20 4 6 2
Cartesian
6.8519 1.1045 10.2817 Te
2.4149 1.2770 4.3569 Te
0.6379 1.3045 0.7548 Te
5.3293 9.8155 0.7539 Te
8.9428 4.5287 8.3945 Te
6.7288 9.9407 7.6627 Te
9.5807 6.0725 4.3188 Te
4.6083 2.8471 10.2246 Te
3.2383 6.3913 2.6412 Te
7.5728 8.0729 0.8111 Te
9.6312 2.2582 4.4399 Te
4.7067 3.8825 3.2227 Te
2.5499 8.6618 6.5957 Te
2.6004 4.8476 6.7168 Te
1.5756 3.9426 1.1710 Te
9.7663 9.6431 6.6787 Te
10.6055 6.9775 9.8646 Te
7.4744 7.0375 7.8129 Te
11.5432 9.6156 10.2808 Te
5.4523 0.9793 3.3730 Te
10.2623 6.8185 6.9890 Hf
1.9188 4.1016 4.0467 Hf
3.4030 1.7280 1.5616 Hf
8.7782 9.1920 9.4741 Hf
6.0785 2.6256 6.7385 Cs
4.4180 6.8827 9.8848 Cs
6.1026 8.2944 4.2971 Cs
10.7586 9.6087 2.8904 Cs
1.4225 1.3113 8.1452 Cs
7.7631 4.0373 1.1508 Cs
2.1914 6.7782 4.9217 Cu
9.9897 4.1419 6.1139 Cu

***

# 7
GGA-PBEsol CsCu2Hg2, optimized geometry; N(E_F) = 0.3230 states/eV per atom; symmetry = I4/mmm, No. 139; calculated formation energy = 0.172 eV/atom
1.0
-3.9116 2.4579 -1.3209
-1.7936 -3.9571 -2.0518
0.4717 -0.5618 6.2968
Hg Cu Cs
2 2 1
Cartesian
-1.6824 -0.9267 3.2579 Hg
-3.5511 -1.1344 -0.3338 Hg
-3.1462 0.5732 1.6448 Cu
-2.0873 -2.6343 1.2793 Cu
0.0000 0.0000 0.0000 Cs

***

# 8
GGA-PBEsol CsCu3Hg, optimized geometry; N(E_F) = 0.7416 states/eV per atom; symmetry = Pm-3m, No. 221; calculated formation energy = 1.803 eV/atom
1.0
-5.0314 0.1897 -1.4724
-0.5662 -5.0548 1.2834
-1.3723 1.3899 4.8686
Cu Cs Hg
3 1 1
Cartesian
-2.5157 0.0949 -0.7362 Cu
-0.6862 0.6950 2.4343 Cu
-0.2831 -2.5274 0.6417 Cu
0.0000 0.0000 0.0000 Cs
-3.4850 -1.7376 2.3399 Hg

***

# 9
GGA-PBEsol CsCu3I, optimized geometry; formation energy from raw total energies = 0.842 eV/atom; N(E_F) = 0.3849 states/eV per atom; symmetry = Pm-3m, No. 221
1.0
5.1903 0.0000 0.0000
0.0000 5.1903 0.0000
0.0000 0.0000 5.1903
I Cu Cs
1 3 1
Cartesian
0.0000 0.0000 0.0000 I
0.0000 0.0000 2.5951 Cu
0.0000 2.5951 0.0000 Cu
2.5951 0.0000 0.0000 Cu
2.5951 2.5951 2.5951 Cs

***

# 10
GGA-PBEsol CsCu3I, optimized geometry; formation energy from raw total energies = 1.606 eV/atom; N(E_F) = 0.5858 states/eV per atom; symmetry = Pm-3m, No. 221
1.0
5.2864 0.0000 0.0000
0.0000 5.2864 0.0000
0.0000 0.0000 5.2864
I Cu Cs
1 3 1
Cartesian
2.6432 2.6432 2.6432 I
0.0000 2.6432 0.0000 Cu
2.6432 0.0000 0.0000 Cu
0.0000 0.0000 2.6432 Cu
0.0000 0.0000 0.0000 Cs

***

# 11
GGA-PBEsol CsCu2I, optimized geometry; formation energy from raw total energies = 0.605 eV/atom; N(E_F) = 0.5736 states/eV per atom; symmetry = Fm-3m, No. 225
1.0
5.1970 0.0000 0.0000
2.5985 4.5007 0.0000
2.5985 1.5002 4.2433
Cu I Cs
2 1 1
Cartesian
2.5985 1.5002 1.0608 Cu
7.7954 4.5007 3.1825 Cu
0.0000 0.0000 0.0000 I
5.1970 3.0005 2.1216 Cs

***

# 12
GGA-PBEsol CsCuIN2, optimized geometry; formation energy from raw total energies = 2.223 eV/atom; N(E_F) = 0.5592 states/eV per atom; symmetry = P4/mmm, No. 123
1.0
-3.0193 -2.1073 -2.2077
3.0520 -2.0849 -2.1838
-0.0004 -5.2972 5.0568
Cu N Cs I
1 2 1 1
Cartesian
0.0162 -4.7447 0.3327 Cu
1.5260 -1.0425 -1.0919 N
-1.5096 -1.0537 -1.1039 N
0.0000 0.0000 0.0000 Cs
-0.0002 -2.6486 2.5284 I

***

# 13
GGA-PBEsol CsCuIN2, optimized geometry; formation energy from raw total energies = 1.305 eV/atom; N(E_F) = 0.3755 states/eV per atom; symmetry = P4/mmm, No. 123
1.0
4.6618 0.0000 0.0000
0.0000 4.6618 0.0000
0.0000 0.0000 5.2756
N Cu Cs I
2 1 1 1
Cartesian
2.3309 0.0000 0.0000 N
0.0000 2.3309 0.0000 N
0.0000 0.0000 0.0000 Cu
2.3309 2.3309 2.6378 Cs
0.0000 0.0000 2.6378 I

***

# 14
GGA-PBEsol Cs2PrCuI6, optimized geometry; formation energy from raw total energies = -1.156 eV/atom; N(E_F) = 0.0000 states/eV per atom; symmetry = Fm-3m, No. 225
1.0
8.3288 0.0000 0.0000
4.1644 7.2130 0.0000
4.1644 2.4043 6.8005
Cs I Pr Cu
2 6 1 1
Cartesian
4.1644 2.4043 1.7001 Cs
12.4932 7.2130 5.1003 Cs
6.1464 3.5486 5.1821 I
10.5112 6.0686 1.6183 I
10.5112 3.5486 5.1821 I
8.3288 7.3286 5.1821 I
8.3288 2.2886 1.6183 I
6.1464 6.0686 1.6183 I
8.3288 4.8086 3.4002 Pr
0.0000 0.0000 0.0000 Cu

***

# 15
GGA-PBEsol Cs4K2CuSi2O8, optimized geometry; formation energy from raw total energies = -1.988 eV/atom; symmetry = P4_2/mnm, No. 136
1.0
-0.5624 4.0308 4.4862
7.0468 -5.2375 5.5891
7.5984 5.7381 -4.2030
K O Si Cu Cs
4 16 4 2 8
Cartesian
7.2606 6.6273 -0.9551 K
8.8253 0.3017 0.8353 K
6.8222 -2.0959 6.8275 K
5.8199 0.1989 0.5508 K
6.8672 1.9950 4.8748 O
7.1034 0.3022 2.9908 O
3.5612 1.1265 -0.5657 O
5.8307 4.8507 0.4618 O
6.9795 4.2292 2.8815 O
1.3725 0.8973 1.0831 O
5.5662 -0.4112 5.1563 O
11.1852 1.3871 0.1559 O
1.0463 3.2353 3.6853 O
11.0841 -0.6259 1.9518 O
3.4600 -0.8865 1.2302 O
7.2157 2.5364 0.9975 O
8.2522 -0.3194 5.4105 O
8.5166 4.9425 0.7160 O
13.0365 1.2960 2.1871 O
12.7103 3.6340 4.7893 O
7.1388 4.2038 1.2070 Si
12.0590 0.4122 1.1414 Si
2.5862 0.0884 0.2448 Si
6.9440 0.3275 4.6654 Si
0.0000 0.0000 0.0000 Cu
7.0414 2.2657 2.9362 Cu
5.6396 2.7983 -1.8072 Cs
9.2680 2.9223 -1.4638 Cs
10.9498 3.7565 2.0866 Cs
3.1331 0.7748 3.7857 Cs
3.2697 3.4940 1.3597 Cs
10.8131 1.0373 4.5126 Cs
5.3773 -2.4217 2.8499 Cs
9.0056 -2.2977 3.1933 Cs

***

# 16
GGA-PBEsol CsLa2CuSe4, optimized geometry; formation energy from raw total energies = -1.575 eV/atom; symmetry = Cmcm, No. 63
1.0
-3.4143 -1.4138 -2.1285
1.1705 -5.0898 5.7753
-8.6756 7.8670 8.6913
Se Cs La Cu
8 2 4 2
Cartesian
-3.6315 0.0314 5.8044 Se
-3.9603 0.3503 1.8478 Se
-4.3378 3.9335 4.3457 Se
0.0000 0.0000 0.0000 Se
-1.2635 -2.1158 3.4321 Se
-6.9592 1.0131 10.4904 Se
-7.2881 1.3320 6.5338 Se
-9.6560 3.4792 8.9060 Se
-6.6187 4.6913 7.5010 Cs
-4.3009 -3.3279 4.8371 Cs
-5.6695 1.1933 4.0297 La
-8.5477 3.1605 11.6121 La
-5.2500 0.1702 8.3085 La
-2.3718 -1.7971 0.7260 La
-2.3456 0.0589 3.7234 Cu
-8.5740 1.3045 8.6148 Cu

***

# 17
GGA-PBEsol CsLi3Cu, optimized geometry; N(E_F) = 0.7776 states/eV per atom; symmetry = Pm-3m, No. 221; calculated formation energy = 0.279 eV/atom
1.0
5.2329 0.0000 0.0000
0.0000 5.2329 0.0000
0.0000 0.0000 5.2329
Li Cu Cs
3 1 1
Cartesian
0.0000 0.0000 2.6164 Li
0.0000 2.6164 0.0000 Li
2.6164 0.0000 0.0000 Li
0.0000 0.0000 0.0000 Cu
2.6164 2.6164 2.6164 Cs

***

# 18
GGA-PBEsol Cs3MgCu, optimized geometry; N(E_F) = 0.9014 states/eV per atom; symmetry = Pm-3m, No. 221; calculated formation energy = 0.680 eV/atom
1.0
7.2150 0.0000 0.0000
0.0000 7.2150 0.0000
0.0000 0.0000 7.2150
Cs Cu Mg
3 1 1
Cartesian
0.0000 3.6075 0.0000 Cs
0.0000 0.0000 3.6075 Cs
3.6075 0.0000 0.0000 Cs
3.6075 3.6075 3.6075 Cu
0.0000 0.0000 0.0000 Mg

***

# 19
GGA-PBEsol Cs3CuMo, optimized geometry; N(E_F) = 0.8742 states/eV per atom; symmetry = Pm-3m, No. 221; calculated formation energy = 1.556 eV/atom
1.0
5.7957 0.0000 0.0000
0.0000 5.7957 0.0000
0.0000 0.0000 5.7957
Cs Mo Cu
3 1 1
Cartesian
2.8978 0.0000 0.0000 Cs
0.0000 0.0000 2.8978 Cs
0.0000 2.8978 0.0000 Cs
0.0000 0.0000 0.0000 Mo
2.8978 2.8978 2.8978 Cu

***

# 20
GGA-PBEsol Cs3CuN, optimized geometry; formation energy from raw total energies = 0.609 eV/atom; N(E_F) = 0.3675 states/eV per atom; symmetry = Pm-3m, No. 221
1.0
5.8296 0.0000 0.0000
0.0000 5.8296 0.0000
0.0000 0.0000 5.8296
Cs N Cu
3 1 1
Cartesian
0.0000 2.9148 0.0000 Cs
2.9148 0.0000 0.0000 Cs
0.0000 0.0000 2.9148 Cs
0.0000 0.0000 0.0000 N
2.9148 2.9148 2.9148 Cu

***

# 21
GGA-PBEsol CsNa2Cu, optimized geometry; N(E_F) = 0.5017 states/eV per atom; symmetry = Fm-3m, No. 225; calculated formation energy = 0.446 eV/atom
1.0
5.7673 0.0000 0.0000
2.8837 4.9947 0.0000
2.8837 1.6649 4.7090
Na Cu Cs
2 1 1
Cartesian
2.8837 1.6649 1.1773 Na
8.6510 4.9947 3.5318 Na
0.0000 0.0000 0.0000 Cu
5.7673 3.3298 2.3545 Cs

***

# 22
GGA-PBEsol CsNaCu3, optimized geometry; N(E_F) = 1.3658 states/eV per atom; symmetry = Pm-3m, No. 221; calculated formation energy = 1.585 eV/atom
1.0
5.6391 0.0000 0.0000
0.0000 5.6391 0.0000
0.0000 0.0000 5.6391
Cu Cs Na
3 1 1
Cartesian
0.0000 0.0000 2.8195 Cu
2.8195 0.0000 0.0000 Cu
0.0000 2.8195 0.0000 Cu
0.0000 0.0000 0.0000 Cs
2.8195 2.8195 2.8195 Na

***

# 23
GGA-PBEsol CsNbCuPt2, optimized geometry; N(E_F) = 1.0446 states/eV per atom; symmetry = P4/mmm, No. 123; calculated formation energy = 2.714 eV/atom
1.0
-1.2551 1.2231 4.6897
4.4771 -1.5625 1.6058
1.8801 4.6562 -0.7112
Pt Cs Cu Nb
2 1 1 1
Cartesian
2.2386 -0.7813 0.8029 Pt
-0.6276 0.6116 2.3448 Pt
0.0000 0.0000 0.0000 Cs
2.5511 2.1584 2.7921 Cu
0.9400 2.3281 -0.3556 Nb

***

# 24
GGA-PBEsol Cs2NbCuSe4, optimized geometry; formation energy from raw total energies = -0.957 eV/atom; N(E_F) = 0.0000 states/eV per atom; symmetry = Fddd, No. 70
1.0
5.7308 0.0000 0.0000
2.8654 7.2098 0.0000
2.8654 0.0000 12.5858
Se Cu Cs Nb
8 2 4 2
Cartesian
5.7247 2.2240 4.9149 Se
7.1574 5.8289 1.3780 Se
7.1574 1.3809 11.2078 Se
8.6022 4.9858 4.9149 Se
2.8715 2.2240 7.6709 Se
5.7247 4.9858 7.6709 Se
1.4388 1.3809 1.3780 Se
7.1695 5.8289 11.2078 Se
7.1634 3.6049 6.2929 Cu
0.0000 0.0000 0.0000 Cu
2.8654 0.0000 4.4979 Cs
5.7308 0.0000 8.0879 Cs
4.2981 3.6049 1.7950 Cs
4.2981 3.6049 10.7908 Cs
2.8654 0.0000 0.0000 Nb
4.2981 3.6049 6.2929 Nb